A plane-wave DFT calculation with PBE-GGA was carried out for a relaxed Ta2CoW crystal.

Computed properties:
- E_form: 262 meV per atom
- Energy: -10.68 eV per atom
- Size of the total moment: 0.142 μB per atom
- D(E_F): 0.911 states/eV/atom
- Crystal system: trigonal
- Calculated volume: 16.1 A^3/atom
- Relative energy among the computed polymorphs: 350 meV per atom

Cell lengths 2.8670, 2.8670, 27.1806 Å; angles 90.00, 90.00, 120.00 degrees
Closest atoms and distances in Å follow each position.
Space group R-3m (No. 166, hexagonal axes)
Inequivalent atoms, fractional coordinates:
Ta1 0.0000 0.0000 0.2424 (multiplicity 6)  3 Co 2.64, 6 Ta 2.87
Co1 0.0000 0.0000 0.5000 (multiplicity 3)  6 Ta 2.64, 6 Co 2.87
W1 0.0000 0.0000 0.0000 (multiplicity 3)  6 W 2.87, 6 Ta 2.98

***

A plane-wave DFT calculation with PBE-GGA was carried out for a relaxed Li2PRu crystal.

Computed properties:
- E_form: -238 meV per atom
- Energy: -4.87 eV per atom
- Size of the total moment: 0.000 μB per atom
- D(E_F): 0.345 states/eV/atom
- Crystal system: monoclinic
- Calculated volume: 13.1 A^3/atom

Cell lengths 2.8247, 4.2578, 4.5654 Å; angles 90.00, 107.28, 90.00 degrees
Closest atoms and distances in Å follow each position.
Space group P2/m (No. 10)
Inequivalent atoms, fractional coordinates:
Li1 0.0888 0.0000 0.2558 (multiplicity 2)  2 Li 2.24-2.43
P1 0.5000 0.5000 0.5000 (multiplicity 1)  2 Ru 2.28, 4 Li 2.52
Ru1 0.5000 0.5000 0.0000 (multiplicity 1)  2 P 2.28

***

A plane-wave DFT calculation with PBE-GGA was carried out for a relaxed Ho2SbS4 crystal.

Computed properties:
- E_form (uncorrected): -31.79 kcal/mol of atoms
- Energy: -5.63 eV per atom
- Size of the total moment: 0.000 μB per atom
- D(E_F): 0.221 states/eV/atom
- Crystal system: monoclinic
- Calculated volume: 26.5 A^3/atom

Cell lengths 15.1307, 3.8479, 6.9272 Å; angles 90.00, 112.84, 90.00 degrees
Closest atoms and distances in Å follow each position.
Space group C2/m (No. 12)
Inequivalent atoms, fractional coordinates:
Ho1 0.2360 0.0000 0.2397 (multiplicity 4)  6 S 2.70-2.79
Sb1 0.0000 0.5000 0.5000 (multiplicity 2)  2 S 2.70
S1 0.1368 0.5000 0.3412 (multiplicity 4)  3 Ho 2.70-2.79, 1 Sb 2.70
S2 0.1472 0.0000 0.8162 (multiplicity 4)  3 Ho 2.71-2.74